[1]
A relaxed LiCe2BeAu6 crystal, computed with PBE-GGA.

Unit cell a=6.3882 b=6.3916 c=6.8890 alpha=62.46 beta=89.76 gamma=60.02
Last column: nearest neighbours and their distance in Å.
Positions (direct):
Li: 0.0000 0.0000 0.0000  6 Au 2.47-2.48
Ce: 0.2765 0.4434 0.8384  12 Au 3.28-3.58
Ce: 0.7235 0.5566 0.1616  12 Au 3.28-3.58
Be: 0.5000 0.0000 0.5000  6 Au 2.29
Au: 0.1935 0.0642 0.6828  1 Be 2.29, 1 Li 2.48
Au: 0.2601 0.4880 0.3008  1 Be 2.29, 1 Li 2.47
Au: 0.2611 0.9440 0.3064  1 Be 2.29, 1 Li 2.47
Au: 0.7389 0.0560 0.6936  1 Be 2.29, 1 Li 2.47
Au: 0.7399 0.5120 0.6992  1 Be 2.29, 1 Li 2.47
Au: 0.8065 0.9358 0.3172  1 Be 2.29, 1 Li 2.48

Calculated values
As for the symmetry: P-1, No. 2.

[2]
A relaxed CeBe2Pd5Au crystal, computed with PBE-GGA.

Unit cell a=4.4742 b=4.4742 c=7.1863 alpha=90.00 beta=90.00 gamma=90.00
Last column: nearest neighbours and their distance in Å.
Positions (direct):
Ce: 0.0000 0.0000 0.0000  12 Pd 2.97-3.16
Be: 0.5000 0.5000 0.3339  5 Pd 2.28-2.40, 1 Be 2.39
Be: 0.5000 0.5000 0.6661  5 Pd 2.28-2.40, 1 Be 2.39
Pd: 0.0000 0.5000 0.2708  2 Be 2.28
Pd: 0.0000 0.5000 0.7292  2 Be 2.28
Pd: 0.5000 0.0000 0.2708  2 Be 2.28
Pd: 0.5000 0.0000 0.7292  2 Be 2.28
Pd: 0.5000 0.5000 0.0000  2 Be 2.40
Au: 0.0000 0.0000 0.5000  8 Pd 2.78

Calculated values
As for the symmetry: P4/mmm, No. 123.

| no. | total magnetization (Bohr magnetons per cell) | calculated total energy (eV for the cell shown) | formation energy (eV per formula unit) |
| --- | --- | --- | --- |
| 1 | 2.3 | -41.365 | -4.19 |
| 2 | 0.6 | -46.294 | -3.67 |